(1)
This record from Alexandria describes a geometry-optimized Y2SiRh structure. The functional is PBE.

space group: R-3m (166)
E_tot: -27.57 eV for the cell shown
ΔE_f (raw): -0.4680 eV/atom
calculated density: 5.4 g/cm³

Cell: 7.6916 7.6916 7.6916 Å, 28.96 28.96 28.96°
Fractional coordinates of all 4 atoms:
Rh 0.2500 0.2500 0.2500
Si 0.7500 0.7500 0.7500
Y 0.9954 0.9954 0.9954
Y 0.5046 0.5046 0.5046


(2)
This record from Alexandria describes a geometry-optimized AsPC2 structure. The functional is PBE.

space group: P1 (1)
energy above the lowest structure with this stoichiometry: 0.1069 eV per atom
E_tot: -25.91 eV for the cell shown
calculated density: 3.5 g/cm³

Cell: 3.0547 3.8918 5.9246 Å, 71.78 89.88 66.90°
Fractional coordinates of all 4 atoms:
P 0.3883 0.0585 0.8938
As 0.8735 0.0920 0.4617
C 0.7428 0.3510 0.7324
C 0.5248 0.7876 0.6666


(3)
This record from Alexandria describes a geometry-optimized PuSc2Cu9 structure. The functional is PBE.

space group: R-3m (166)
E_tot: -65.41 eV for the cell shown
calculated density: 8.3 g/cm³

Cell: 5.1170 5.1170 8.5488 Å, 72.59 72.59 60.00°
Each line ends with the local moment (μB).
Fractional coordinates of all 12 atoms:
Pu 0.0000 0.0000 0.0000  5.26
Sc 0.8553 0.8553 0.4342  0.02
Sc 0.1447 0.1447 0.5658  0.02
Cu 0.6670 0.6670 0.9991  0.01
Cu 0.3330 0.3330 0.0009  0.01
Cu 0.5000 0.5000 0.5000  0.00
Cu 0.4139 0.4139 0.2542  0.01
Cu 0.9180 0.4139 0.2542  0.01
Cu 0.4139 0.9180 0.2542  0.01
Cu 0.5861 0.5861 0.7458  0.01
Cu 0.5861 0.0820 0.7458  0.01
Cu 0.0820 0.5861 0.7458  0.01


(4)
This record from Alexandria describes a geometry-optimized CoTcRu structure. The functional is PBE.

space group: P-6m2 (187)
energy above the lowest structure with this stoichiometry: 0.0726 eV per atom
E_tot: -26.30 eV for the cell shown
calculated density: 10.8 g/cm³

Cell: 4.1484 4.1484 2.6565 Å, 90.00 90.00 120.00°
Each line ends with the local moment (μB).
Fractional coordinates of all 3 atoms:
Co 0.0000 0.0000 0.8333  0.56
Ru 0.6667 0.3333 0.3333  0.09
Tc 0.3333 0.6667 0.8335  -0.04


(5)
This record from Alexandria describes a geometry-optimized KMn3Cu structure. The functional is PBE.

space group: Pm-3m (221)
energy above the lowest structure with this stoichiometry: 0.0000 eV per atom
E_tot: -28.00 eV for the cell shown
calculated density: 3.8 g/cm³

Cell: 4.8796 4.8796 4.8796 Å, 90.00 90.00 90.00°
Each line ends with the local moment (μB).
Fractional coordinates of all 5 atoms:
K 0.5000 0.5000 0.5000  0.01
Mn 0.0000 0.5000 0.0000  4.08
Mn 0.0000 0.0000 0.5000  4.12
Mn 0.5000 0.0000 0.0000  3.92
Cu 0.0000 0.0000 0.0000  0.20


(6)
This record from Alexandria describes a geometry-optimized Sc2BeHg structure. The functional is PBE.

space group: Imm2 (44)
energy above the lowest structure with this stoichiometry: 0.1529 eV per atom
E_tot: -17.03 eV for the cell shown
calculated density: 6.5 g/cm³

Cell: 5.7132 5.7132 4.7053 Å, 65.65 65.65 33.61°
Each line ends with the local moment (μB).
Fractional coordinates of all 4 atoms:
Sc 0.9928 0.9928 0.0072  0.22
Sc 0.7772 0.7772 0.7230  0.11
Be 0.5199 0.5199 0.4796  0.01
Hg 0.2101 0.2101 0.2902  0.01


(7)
This record from Alexandria describes a geometry-optimized Ca3TlP structure. The functional is PBE.

space group: Pnma (62)
energy above the lowest structure with this stoichiometry: 0.2309 eV per atom
E_tot: -64.91 eV for the cell shown
calculated density: 3.8 g/cm³

Cell: 7.4955 9.5803 8.5696 Å, 90.00 90.00 90.00°
Fractional coordinates of all 20 atoms:
P 0.6136 0.2500 0.4968
P 0.8864 0.7500 0.9968
P 0.3864 0.7500 0.5032
P 0.1136 0.2500 0.0032
Tl 0.0000 0.0000 0.5000
Tl 0.5000 0.5000 0.0000
Tl 0.5000 0.0000 0.0000
Tl 0.0000 0.5000 0.5000
Ca 0.1291 0.9338 0.8399
Ca 0.3709 0.4338 0.3399
Ca 0.3709 0.0662 0.3399
Ca 0.8709 0.4338 0.1601
Ca 0.8709 0.0662 0.1601
Ca 0.6291 0.5662 0.6601
Ca 0.6291 0.9338 0.6601
Ca 0.1291 0.5662 0.8399
Ca 0.3615 0.2500 0.7500
Ca 0.1385 0.7500 0.2500
Ca 0.6385 0.7500 0.2500
Ca 0.8615 0.2500 0.7500


(8)
This record from Alexandria describes a geometry-optimized Rb2CdSe2O6 structure. The functional is PBE.

space group: C2/m (12)
E_tot: -52.63 eV for the cell shown
ΔE_f (raw): -1.1870 eV/atom
calculated density: 4.4 g/cm³

Cell: 6.0680 5.7314 7.5152 Å, 109.21 90.00 121.96°
Fractional coordinates of all 11 atoms:
Rb 0.7030 0.4061 0.1541
Rb 0.2970 0.5939 0.8459
Cd 0.5000 0.0000 0.5000
Se 0.9133 0.8265 0.7549
Se 0.0867 0.1735 0.2451
O 0.7548 0.5095 0.5496
O 0.2091 0.9630 0.2586
O 0.2460 0.0370 0.7414
O 0.7909 0.0370 0.7414
O 0.7540 0.9630 0.2586
O 0.2452 0.4905 0.4504


(9)
This record from Alexandria describes a geometry-optimized GaNCl2 structure. The functional is PBE.

space group: Fm-3m (225)
energy above the lowest structure with this stoichiometry: 0.2118 eV per atom
E_tot: -11.13 eV for the cell shown
ΔE_f (raw): 0.9777 eV/atom
calculated density: 3.4 g/cm³

Cell: 4.7382 4.7382 4.7382 Å, 60.00 60.00 60.00°
Each line ends with the local moment (μB).
Fractional coordinates of all 4 atoms:
N 0.0000 0.0000 0.0000  1.75
Ga 0.5000 0.5000 0.5000  -0.22
Cl 0.2500 0.2500 0.2500  -0.06
Cl 0.7500 0.7500 0.7500  -0.06


(10)
This record from Alexandria describes a geometry-optimized SnSbIrI2 structure. The functional is PBE.

space group: P4/mmm (123)
energy above the lowest structure with this stoichiometry: 0.0000 eV per atom
E_tot: -18.07 eV for the cell shown
ΔE_f (raw): 0.4027 eV/atom
calculated density: 7.3 g/cm³

Cell: 5.5820 5.5820 5.0318 Å, 90.00 90.00 90.00°
Fractional coordinates of all 5 atoms:
I 0.0000 0.5000 0.0000
I 0.5000 0.0000 0.0000
Sb 0.0000 0.0000 0.5000
Ir 0.0000 0.0000 0.0000
Sn 0.5000 0.5000 0.5000


(11)
This record from Alexandria describes a geometry-optimized SmH10S3N3O11 structure. The functional is PBE.

space group: P-1 (2)
E_tot: -325.27 eV for the cell shown
calculated density: 2.6 g/cm³

Cell: 8.0397 9.3601 9.2508 Å, 118.78 95.67 90.37°
Fractional coordinates of all 56 atoms:
Sm 0.2215 0.3777 0.2127
Sm 0.7785 0.6223 0.7873
H 0.1208 0.9598 0.3143
H 0.1571 0.2522 0.6173
H 0.2253 0.4463 0.7576
H 0.3310 0.3072 0.8707
H 0.3184 0.8986 0.3197
H 0.3551 0.7788 0.7736
H 0.2612 0.0249 0.1391
H 0.2781 0.0220 0.9654
H 0.3683 0.8848 0.6730
H 0.4983 0.3277 0.9905
H 0.5017 0.6723 0.0095
H 0.6317 0.1152 0.3270
H 0.7219 0.9780 0.0346
H 0.7388 0.9751 0.8609
H 0.6449 0.2212 0.2264
H 0.6816 0.1014 0.6803
H 0.6690 0.6928 0.1293
H 0.7747 0.5537 0.2424
H 0.8429 0.7478 0.3827
H 0.8792 0.0402 0.6857
S 0.1178 0.7559 0.6173
S 0.1513 0.7139 0.0978
S 0.4113 0.3218 0.5795
S 0.5887 0.6782 0.4205
S 0.8487 0.2861 0.9022
S 0.8822 0.2441 0.3827
N 0.2591 0.3278 0.6926
N 0.2164 0.9021 0.2448
N 0.2932 0.8563 0.7407
N 0.7068 0.1437 0.2593
N 0.7836 0.0979 0.7552
N 0.7409 0.6722 0.3074
O 0.0164 0.2651 0.9654
O 0.0224 0.7231 0.7268
O 0.0419 0.8676 0.5655
O 0.1438 0.6062 0.1725
O 0.1614 0.6027 0.4774
O 0.2738 0.6653 0.9778
O 0.3753 0.3118 0.9780
O 0.3352 0.3091 0.4221
O 0.2839 0.0939 0.0874
O 0.5068 0.4796 0.6866
O 0.5036 0.1791 0.5512
O 0.4964 0.8209 0.4488
O 0.4932 0.5204 0.3134
O 0.7161 0.9061 0.9126
O 0.6648 0.6909 0.5779
O 0.6247 0.6882 0.0220
O 0.7262 0.3347 0.0222
O 0.8386 0.3973 0.5226
O 0.8562 0.3938 0.8275
O 0.9581 0.1324 0.4345
O 0.9776 0.2769 0.2732
O 0.9836 0.7349 0.0346


V
In order: 23.59; 15.24; 15.16; 13.20; 23.24; 19.18; 30.77; 18.58; 18.80; 31.36; 10.82
Unit: Å³ per atom